First-principles (GGA-PBE) data for HoTm5 after structural relaxation, as listed in Alexandria.

* SG: No. 12
* DOS at the Fermi energy: 7.8 states/eV/f.u.
* uncorrected energy: -4.464 eV per atom
* calculated volume: 180 Å³/cell

a = 3.4757 Å, b = 7.8173 Å, c = 6.9688 Å
α = 102.89°, β = 90.00°, γ = 102.84°
Last column: nearest neighbours and their distance in Å.
Element x y z (fractional)
Tm  0.0276  0.0552  0.0558  10 Tm 3.48-3.49, 2 Ho 3.49
Tm  0.3612  0.7225  0.7221  10 Tm 3.48-3.49, 2 Ho 3.49
Tm  0.3614  0.7228  0.2226  10 Tm 3.48-3.49, 2 Ho 3.49
Tm  0.6945  0.3890  0.3889  10 Tm 3.48-3.49, 2 Ho 3.48
Tm  0.0275  0.0550  0.5552  10 Tm 3.48-3.49, 2 Ho 3.49
Ho  0.6944  0.3888  0.8889  2 Ho 3.48, 10 Tm 3.48-3.49